Here is a relaxed CaMn4O8 crystal from Alexandria. Energies are from GGA+U.

Computed properties:
* energy above the lowest structure with this stoichiometry: 0 meV per atom
* total energy: -7.242 eV per atom

Lattice parameters (Å, degrees): 10.755 5.788 7.458 90.00 130.52 90.00
Space group C2/m (No. 12)
Inequivalent atoms, fractional coordinates:
Ca 0.000 0.000 0.000
Mn 0.000 0.252 0.500
Mn 0.238 0.500 0.478
O 0.011 0.500 0.334
O 0.022 0.000 0.345
O 0.224 0.238 0.305